1.
First-principles (GGA-PBE) data for a geometry-optimized TaAg2 structure, as listed in Alexandria via LeMat-Bulk.

Cell lengths 5.8458, 5.8458, 7.0301 Å; angles 106.09, 106.09, 28.20 degrees
Sites, in units of the cell vectors:
Ta1 0.0000 0.0000 0.0000
Ta2 0.6511 0.6511 0.2998
Ag1 0.2719 0.2719 0.0316
Ag2 0.3227 0.3227 0.6500
Ag3 0.6002 0.6002 0.7023
Ag4 0.9321 0.9321 0.3717

## Properties
SG = Cm (8)
Fermi-level density of states = 1.62 states/eV/f.u.
Energy of formation from the pure elements = 0.31 eV per atom

=====

2.
First-principles (GGA-PBE) data for a geometry-optimized TaAg2 structure, as listed in Alexandria via LeMat-Bulk.

Cell lengths 5.3595, 5.3595, 5.3595 Å; angles 60.00, 60.00, 60.00 degrees
Sites, in units of the cell vectors:
Ta1 0.1250 0.1250 0.1250
Ta2 0.8750 0.8750 0.8750
Ag1 0.0000 0.5000 0.5000
Ag2 0.5000 0.0000 0.5000
Ag3 0.5000 0.5000 0.0000
Ag4 0.5000 0.5000 0.5000

## Properties
SG = Fd-3m (227)
Fermi-level density of states = 3.63 states/eV/f.u.
Energy of formation from the pure elements = 0.66 eV per atom

=====

Question: Which of these has the lowest energy of formation from the pure elements?
Answer: number 1